FeBI2O | Alexandria | GGA+U | relaxed; space-group type = P4/mmm; Fermi-level density of states = 0.114 states/eV per atom; raw total energy = -3.478 eV per atom; total moment = 5.0 μB/cell
1.0
5.734 0.000 0.000
0.000 5.734 0.000
0.000 0.000 3.696
Fe B I O
1 1 2 1
direct
0.000 0.000 0.000
0.500 0.500 0.500
0.000 0.500 0.000
0.500 0.000 0.000
0.000 0.000 0.500